*P*
La2HgI PBE-GGA relaxed; V = 277 Å³/cell; D(E_F) = 1.116 states/eV per atom
1.0
-2.934 -1.871 -2.631
2.733 -2.477 2.330
-11.072 -0.361 12.606
La Hg I
4 2 2
Direct
0.333 0.667 0.383 La
0.667 0.333 0.883 La
0.667 0.333 0.617 La
0.333 0.667 0.117 La
0.000 0.000 0.500 Hg
0.000 0.000 0.000 Hg
0.667 0.333 0.250 I
0.333 0.667 0.750 I

*Q*
La2HgI PBE-GGA relaxed; V = 123 Å³/cell; D(E_F) = 1.265 states/eV per atom
1.0
0.000 3.952 3.952
3.952 0.000 3.952
3.952 3.952 0.000
I Hg La
1 1 2
Direct
0.000 0.000 0.000 I
0.500 0.500 0.500 Hg
0.250 0.250 0.250 La
0.750 0.750 0.750 La

*R*
La2HgI PBE-GGA relaxed; V = 137 Å³/cell; D(E_F) = 1.186 states/eV per atom
1.0
4.558 0.000 0.000
-2.279 3.926 -0.288
0.000 -2.068 7.833
La Hg I
2 1 1
Direct
0.245 0.491 0.236 La
0.755 0.509 0.764 La
0.500 0.000 0.000 Hg
0.000 0.000 0.500 I

*S*
La2HgI PBE-GGA relaxed; V = 134 Å³/cell; D(E_F) = 1.076 states/eV per atom
1.0
4.087 0.000 0.001
2.044 3.539 0.001
2.045 1.181 9.277
La Hg I
2 1 1
Direct
0.080 0.080 0.760 La
0.253 0.253 0.240 La
0.666 0.666 0.000 Hg
0.500 0.500 0.500 I

The winner here is *R*, beating the second structure by 7 meV per atom.

*P*
La2HgI PBE-GGA relaxed; V = 124 Å³/cell; D(E_F) = 1.332 states/eV per atom
1.0
3.776 0.000 0.000
0.000 3.776 0.000
0.000 0.000 8.664
I Hg La
1 1 2
Direct
0.500 0.500 0.500 I
0.500 0.500 0.000 Hg
0.000 0.000 0.764 La
0.000 0.000 0.236 La

*Q*
La2HgI PBE-GGA relaxed; V = 361 Å³/cell; D(E_F) = 1.387 states/eV per atom
1.0
-4.858 2.802 3.553
-2.478 -6.010 1.351
1.004 -2.020 9.169
I Hg La
2 2 4
Direct
0.500 0.500 0.000 I
0.250 0.750 0.500 I
0.000 0.000 0.000 Hg
0.750 0.250 0.500 Hg
0.649 0.125 0.250 La
0.101 0.625 0.250 La
0.375 0.351 0.750 La
0.875 0.899 0.750 La

The winner here is *P*, beating the second structure by 443 meV per atom.

*P*
LaHgI2 PBE-GGA relaxed; V = 133 Å³/cell; D(E_F) = 1.132 states/eV per atom
1.0
-0.914 2.843 4.881
-5.170 -0.109 2.450
-0.793 -2.878 4.882
I Hg La
2 1 1
Direct
0.250 0.250 0.250 I
0.750 0.750 0.750 I
0.500 0.500 0.500 Hg
0.000 0.000 0.000 La

*Q*
LaHgI2 PBE-GGA relaxed; V = 199 Å³/cell; D(E_F) = 0.495 states/eV per atom
1.0
-1.075 -1.868 -3.708
-2.652 -3.371 -0.014
-11.033 5.960 -2.285
I Hg La
2 1 1
Direct
0.111 0.111 0.668 I
0.889 0.889 0.332 I
0.000 0.000 0.000 Hg
0.500 0.500 0.500 La

The winner here is *Q*, beating the second structure by 198 meV per atom.

*P*
La3HgI PBE-GGA relaxed; V = 218 Å³/cell; D(E_F) = 2.149 states/eV per atom
1.0
-5.207 -0.151 3.008
-2.747 -2.224 -4.867
1.234 -5.587 1.856
I Hg La
1 1 3
Direct
0.500 0.500 0.500 I
0.000 0.000 0.000 Hg
0.000 0.500 0.000 La
0.000 0.000 0.500 La
0.500 0.000 0.000 La

*Q*
La3HgI PBE-GGA relaxed; V = 670 Å³/cell; D(E_F) = 1.211 states/eV per atom
1.0
7.190 0.738 0.917
1.230 9.708 1.333
1.230 -0.769 9.769
La Hg I
12 4 4
Direct
0.123 0.767 0.859 La
0.377 0.141 0.233 La
0.877 0.233 0.141 La
0.623 0.859 0.767 La
0.371 0.379 0.952 La
0.129 0.048 0.621 La
0.629 0.621 0.048 La
0.871 0.952 0.379 La
0.962 0.402 0.772 La
0.538 0.228 0.598 La
0.038 0.598 0.228 La
0.462 0.772 0.402 La
0.750 0.894 0.106 Hg
0.250 0.106 0.894 Hg
0.750 0.126 0.874 Hg
0.250 0.874 0.126 Hg
0.550 0.564 0.682 I
0.950 0.318 0.436 I
0.450 0.436 0.318 I
0.050 0.682 0.564 I

The winner here is *Q*, beating the second structure by 470 meV per atom.